# AcHoO3

A geometry-optimized AcHoO3 structure (PBE-GGA, OQMD).

As for the space-group type: R-3. The calculation puts the total energy at -81.14 eV/cell.

Unit cell a=6.0373 b=6.0373 c=6.3060 alpha=61.40 beta=61.40 gamma=60.00
Atoms (fractional coordinates):
O1 0.5490 0.2130 0.2619
O2 0.4510 0.7870 0.7381
O3 0.7870 0.0239 0.7381
O4 0.0239 0.4510 0.7381
O5 0.2130 0.9761 0.2619
O6 0.9761 0.5490 0.2619
Ho1 0.1478 0.1478 0.5565
Ho2 0.8522 0.8522 0.4435
Ac1 0.3687 0.3687 0.8938
Ac2 0.6313 0.6313 0.1062

# AcHoO3

A geometry-optimized AcHoO3 structure (PBE-GGA, OQMD).

As for the space-group type: R-3c. The calculation puts the total energy at -81.41 eV/cell.

Unit cell a=6.0177 b=6.0177 c=6.0177 alpha=61.03 beta=61.03 gamma=61.03
Atoms (fractional coordinates):
O1 0.8535 0.2500 0.6465
O2 0.6465 0.8535 0.2500
O3 0.7500 0.3535 0.1465
O4 0.3535 0.1465 0.7500
O5 0.1465 0.7500 0.3535
O6 0.2500 0.6465 0.8535
Ac1 0.2500 0.2500 0.2500
Ac2 0.7500 0.7500 0.7500
Ho1 0.0000 0.0000 0.0000
Ho2 0.5000 0.5000 0.5000

# AcHo2O4

A geometry-optimized AcHo2O4 structure (PBE-GGA, OQMD).

As for the space-group type: Fd-3m. The calculation puts the total energy at -111.89 eV/cell.

Unit cell a=6.9577 b=6.9577 c=6.9577 alpha=119.99 beta=90.01 gamma=119.99
Atoms (fractional coordinates):
O1 0.1424 0.2847 0.8577
O2 0.6076 0.2153 0.3923
O3 0.6077 0.2153 0.8230
O4 0.1770 0.7847 0.3923
O5 0.1423 0.7153 0.8576
O6 0.6077 0.7847 0.3924
O7 0.5730 0.7153 0.8577
O8 0.1423 0.2847 0.4270
Ac1 0.7500 0.5000 0.2500
Ac2 0.0000 0.0000 0.0000
Ho1 0.3750 0.7500 0.1250
Ho2 0.3750 0.7500 0.6250
Ho3 0.8750 0.2500 0.6250
Ho4 0.3750 0.2500 0.6250

# AcHoO3

A geometry-optimized AcHoO3 structure (PBE-GGA, OQMD).

As for the space-group type: P4mm. The calculation puts the total energy at -38.14 eV/cell.

Unit cell a=3.8472 b=3.8472 c=5.9915 alpha=90.00 beta=90.00 gamma=90.00
Atoms (fractional coordinates):
Ho1 0.0000 0.0000 0.9015
O1 0.5000 0.5000 0.0970
O2 0.5000 0.0000 0.7094
O3 0.0000 0.5000 0.7094
Ac1 0.5000 0.5000 0.4827

# AcHoO3

A geometry-optimized AcHoO3 structure (PBE-GGA, OQMD).

As for the space-group type: Pnma. The calculation puts the total energy at -163.62 eV/cell.

Unit cell a=5.9750 b=6.1518 c=8.5514 alpha=90.00 beta=90.00 gamma=90.00
Atoms (fractional coordinates):
O1 0.8041 0.8027 0.0594
O2 0.6959 0.3027 0.4406
O3 0.6129 0.0487 0.7500
O4 0.8871 0.5487 0.7500
O5 0.8041 0.8027 0.4406
O6 0.3871 0.9513 0.2500
O7 0.1959 0.1973 0.5594
O8 0.3041 0.6973 0.5594
O9 0.1959 0.1973 0.9406
O10 0.3041 0.6973 0.9406
O11 0.6959 0.3027 0.0594
O12 0.1129 0.4513 0.2500
Ho1 0.0000 0.5000 0.0000
Ho2 0.0000 0.5000 0.5000
Ho3 0.5000 0.0000 0.5000
Ho4 0.5000 0.0000 0.0000
Ac1 0.5121 0.5475 0.2500
Ac2 0.4879 0.4525 0.7500
Ac3 0.9879 0.0475 0.2500
Ac4 0.0121 0.9525 0.7500

# AcHoO3

A geometry-optimized AcHoO3 structure (PBE-GGA, OQMD).

As for the space-group type: R-3c. The calculation puts the total energy at -78.37 eV/cell.

Unit cell a=6.3788 b=6.3788 c=6.3788 alpha=59.24 beta=59.24 gamma=59.24
Atoms (fractional coordinates):
Ac1 0.0000 0.0000 0.0000
Ac2 0.5000 0.5000 0.5000
O1 0.0849 0.7500 0.4151
O2 0.5849 0.9151 0.2500
O3 0.9151 0.2500 0.5849
O4 0.7500 0.4151 0.0849
O5 0.4151 0.0849 0.7500
O6 0.2500 0.5849 0.9151
Ho1 0.7500 0.7500 0.7500
Ho2 0.2500 0.2500 0.2500

# AcHoO3

A geometry-optimized AcHoO3 structure (PBE-GGA, OQMD).

As for the space-group type: P4mm. The calculation puts the total energy at -40.19 eV/cell.

Unit cell a=4.1433 b=4.1433 c=4.8240 alpha=90.00 beta=90.00 gamma=90.00
Atoms (fractional coordinates):
O1 0.5000 0.0000 0.6619
O2 0.0000 0.5000 0.6619
O3 0.5000 0.5000 0.0889
Ho1 0.5000 0.5000 0.5300
Ac1 0.0000 0.0000 0.9572

# AcHoO3

A geometry-optimized AcHoO3 structure (PBE-GGA, OQMD).

As for the space-group type: Pnma. The calculation puts the total energy at -159.70 eV/cell.

Unit cell a=6.1132 b=6.2554 c=8.9533 alpha=90.00 beta=90.00 gamma=90.00
Atoms (fractional coordinates):
Ho1 0.0130 0.0190 0.2500
Ho2 0.4870 0.5190 0.2500
Ho3 0.9870 0.9810 0.7500
Ho4 0.5130 0.4810 0.7500
O1 0.8439 0.8416 0.0829
O2 0.1561 0.1584 0.5829
O3 0.8439 0.8416 0.4171
O4 0.6561 0.3416 0.4171
O5 0.1561 0.1584 0.9171
O6 0.6718 0.1422 0.7500
O7 0.8282 0.6422 0.7500
O8 0.6561 0.3416 0.0829
O9 0.3439 0.6584 0.5829
O10 0.3439 0.6584 0.9171
O11 0.3282 0.8578 0.2500
O12 0.1718 0.3578 0.2500
Ac1 0.5000 0.0000 0.0000
Ac2 0.0000 0.5000 0.5000
Ac3 0.0000 0.5000 0.0000
Ac4 0.5000 0.0000 0.5000

# AcHoPa

A geometry-optimized AcHoPa structure (PBE-GGA, OQMD).

As for the space-group type: F-43m. The formation energy comes out at 1.089 eV per atom.

Unit cell a=5.4096 b=5.4096 c=5.4096 alpha=60.00 beta=60.00 gamma=60.00
Site moments in Bohr magnetons follow the coordinates.
Atoms (fractional coordinates):
Ac1 0.5000 0.5000 0.5000  0.03
Ho1 0.2500 0.2500 0.2500  0.14
Pa1 0.0000 0.0000 0.0000  0.49

# AcHoPb

A geometry-optimized AcHoPb structure (PBE-GGA, OQMD).

As for the space-group type: F-43m. The calculation puts the total energy at -12.85 eV/cell.

Unit cell a=5.4372 b=5.4372 c=5.4372 alpha=60.00 beta=60.00 gamma=60.00
Atoms (fractional coordinates):
Ac1 0.5000 0.5000 0.5000
Ho1 0.0000 0.0000 0.0000
Pb1 0.2500 0.2500 0.2500

# AcHoPb

A geometry-optimized AcHoPb structure (PBE-GGA, OQMD).

As for the space-group type: F-43m. The calculation puts the total energy at -11.15 eV/cell.

Unit cell a=5.5821 b=5.5821 c=5.5821 alpha=60.00 beta=60.00 gamma=60.00
Atoms (fractional coordinates):
Pb1 0.7500 0.7500 0.7500
Ac1 0.0000 0.0000 0.0000
Ho1 0.2500 0.2500 0.2500

# AcHoPu

A geometry-optimized AcHoPu structure (PBE-GGA, OQMD).

As for the space-group type: F-43m. The formation energy comes out at 0.922 eV per atom.

Unit cell a=5.3560 b=5.3560 c=5.3560 alpha=60.00 beta=60.00 gamma=60.00
Atoms (fractional coordinates):
Ho1 0.2500 0.2500 0.2500
Ac1 0.0000 0.0000 0.0000
Pu1 0.7500 0.7500 0.7500

# AcHoPu

A geometry-optimized AcHoPu structure (PBE-GGA, OQMD).

As for the space-group type: F-43m. The formation energy comes out at 0.761 eV per atom.

Unit cell a=5.4613 b=5.4613 c=5.4613 alpha=60.00 beta=60.00 gamma=60.00
Site moments in Bohr magnetons follow the coordinates.
Atoms (fractional coordinates):
Ho1 0.7500 0.7500 0.7500  0.23
Ac1 0.2500 0.2500 0.2500  0.13
Pu1 0.0000 0.0000 0.0000  5.63

# AcHoRe

A geometry-optimized AcHoRe structure (PBE-GGA, OQMD).

As for the space-group type: F-43m. The formation energy comes out at 1.167 eV per atom.

Unit cell a=4.9419 b=4.9419 c=4.9419 alpha=60.00 beta=60.00 gamma=60.00
Atoms (fractional coordinates):
Re1 0.0000 0.0000 0.0000
Ho1 0.2500 0.2500 0.2500
Ac1 0.5000 0.5000 0.5000

# AcHoSb

A geometry-optimized AcHoSb structure (PBE-GGA, OQMD).

As for the space-group type: F-43m. The calculation puts the total energy at -12.02 eV/cell.

Unit cell a=5.5335 b=5.5335 c=5.5335 alpha=60.00 beta=60.00 gamma=60.00
Atoms (fractional coordinates):
Ho1 0.2500 0.2500 0.2500
Ac1 0.0000 0.0000 0.0000
Sb1 0.7500 0.7500 0.7500

# AcHoSb

A geometry-optimized AcHoSb structure (PBE-GGA, OQMD).

As for the space-group type: F-43m. The calculation puts the total energy at -14.16 eV/cell.

Unit cell a=5.3300 b=5.3300 c=5.3300 alpha=60.00 beta=60.00 gamma=60.00
Atoms (fractional coordinates):
Ho1 0.0000 0.0000 0.0000
Sb1 0.2500 0.2500 0.2500
Ac1 0.5000 0.5000 0.5000

# AcHoSc

A geometry-optimized AcHoSc structure (PBE-GGA, OQMD).

As for the space-group type: F-43m. The formation energy comes out at 0.919 eV per atom.

Unit cell a=5.4612 b=5.4612 c=5.4612 alpha=60.00 beta=60.00 gamma=60.00
Atoms (fractional coordinates):
Ac1 0.0000 0.0000 0.0000
Ho1 0.2500 0.2500 0.2500
Sc1 0.7500 0.7500 0.7500

# AcHoSc

A geometry-optimized AcHoSc structure (PBE-GGA, OQMD).

As for the space-group type: F-43m. The formation energy comes out at 0.661 eV per atom.

Unit cell a=5.4575 b=5.4575 c=5.4575 alpha=60.00 beta=60.00 gamma=60.00
Atoms (fractional coordinates):
Sc1 0.0000 0.0000 0.0000
Ac1 0.2500 0.2500 0.2500
Ho1 0.7500 0.7500 0.7500

# AcHo2Se4

A geometry-optimized AcHo2Se4 structure (PBE-GGA, OQMD).

As for the space-group type: Cmcm. The calculation puts the total energy at -81.17 eV/cell.

Unit cell a=7.0167 b=7.0167 c=13.9265 alpha=90.00 beta=90.00 gamma=145.64
Atoms (fractional coordinates):
Ho1 0.8706 0.1294 0.0633
Ho2 0.1294 0.8706 0.9367
Ho3 0.1294 0.8706 0.5633
Ho4 0.8706 0.1294 0.4367
Se1 0.2306 0.7694 0.3828
Se2 0.9486 0.0514 0.2500
Se3 0.0514 0.9486 0.7500
Se4 0.5000 0.5000 0.5000
Se5 0.5000 0.5000 0.0000
Se6 0.7694 0.2306 0.8828
Se7 0.2306 0.7694 0.1172
Se8 0.7694 0.2306 0.6172
Ac1 0.3799 0.6201 0.7500
Ac2 0.6201 0.3799 0.2500

# AcHoSi

A geometry-optimized AcHoSi structure (PBE-GGA, OQMD).

As for the space-group type: F-43m. The calculation puts the total energy at -12.15 eV/cell.

Unit cell a=5.2423 b=5.2423 c=5.2423 alpha=60.00 beta=60.00 gamma=60.00
Atoms (fractional coordinates):
Ac1 0.0000 0.0000 0.0000
Ho1 0.2500 0.2500 0.2500
Si1 0.7500 0.7500 0.7500

# AcHoSi

A geometry-optimized AcHoSi structure (PBE-GGA, OQMD).

As for the space-group type: F-43m. The calculation puts the total energy at -15.04 eV/cell.

Unit cell a=5.0946 b=5.0946 c=5.0946 alpha=60.00 beta=60.00 gamma=60.00
Atoms (fractional coordinates):
Ho1 0.7500 0.7500 0.7500
Si1 0.0000 0.0000 0.0000
Ac1 0.2500 0.2500 0.2500

# AcHoSn

A geometry-optimized AcHoSn structure (PBE-GGA, OQMD).

As for the space-group type: F-43m. The calculation puts the total energy at -13.66 eV/cell.

Unit cell a=5.3831 b=5.3831 c=5.3831 alpha=60.00 beta=60.00 gamma=60.00
Atoms (fractional coordinates):
Ac1 0.2500 0.2500 0.2500
Ho1 0.7500 0.7500 0.7500
Sn1 0.0000 0.0000 0.0000

# AcHoSn

A geometry-optimized AcHoSn structure (PBE-GGA, OQMD).

As for the space-group type: F-43m. The calculation puts the total energy at -11.68 eV/cell.

Unit cell a=5.5168 b=5.5168 c=5.5168 alpha=60.00 beta=60.00 gamma=60.00
Atoms (fractional coordinates):
Ho1 0.2500 0.2500 0.2500
Sn1 0.7500 0.7500 0.7500
Ac1 0.0000 0.0000 0.0000

# SrAcHo

A geometry-optimized SrAcHo structure (PBE-GGA, OQMD).

As for the space-group type: F-43m. The calculation puts the total energy at -8.33 eV/cell.

Unit cell a=5.9577 b=5.9577 c=5.9577 alpha=60.00 beta=60.00 gamma=60.00
Atoms (fractional coordinates):
Sr1 0.5000 0.5000 0.5000
Ho1 0.7500 0.7500 0.7500
Ac1 0.0000 0.0000 0.0000

# AcHoTc

A geometry-optimized AcHoTc structure (PBE-GGA, OQMD).

As for the space-group type: F-43m. The formation energy comes out at 0.964 eV per atom.

Unit cell a=4.9448 b=4.9448 c=4.9448 alpha=60.00 beta=60.00 gamma=60.00
Atoms (fractional coordinates):
Ac1 0.2500 0.2500 0.2500
Ho1 0.0000 0.0000 0.0000
Tc1 0.7500 0.7500 0.7500

# AcHoTh

A geometry-optimized AcHoTh structure (PBE-GGA, OQMD).

As for the space-group type: F-43m. The formation energy comes out at 0.743 eV per atom.

Unit cell a=5.5815 b=5.5815 c=5.5815 alpha=60.00 beta=60.00 gamma=60.00
Atoms (fractional coordinates):
Th1 0.7500 0.7500 0.7500
Ac1 0.2500 0.2500 0.2500
Ho1 0.0000 0.0000 0.0000

# AcHoU

A geometry-optimized AcHoU structure (PBE-GGA, OQMD).

As for the space-group type: F-43m. The formation energy comes out at 1.277 eV per atom.

Unit cell a=5.3908 b=5.3908 c=5.3908 alpha=60.00 beta=60.00 gamma=60.00
Atoms (fractional coordinates):
Ac1 0.2500 0.2500 0.2500
Ho1 0.7500 0.7500 0.7500
U1 0.0000 0.0000 0.0000